1.
Material: Ba3InPd8
Method: DFT, PBE
State: relaxed

Calculated values
DOS(E_F)   4.0 states/eV/f.u.
Total DFT energy (no corrections)   -4.67 eV per atom

Cell lengths 5.6577, 5.6577, 27.7556 Å; angles 90.00, 90.00, 120.00 degrees
Space group R3m (No. 160, hexagonal axes)
Unique sites:
Ba 0.0000 0.0000 0.0000 (multiplicity 3)
Ba 0.0000 0.0000 0.1266 (multiplicity 3)
Ba 0.0000 0.0000 0.5065 (multiplicity 3)
In 0.0000 0.0000 0.6299 (multiplicity 3)
Pd 0.0000 0.0000 0.3141 (multiplicity 3)
Pd 0.0000 0.0000 0.8150 (multiplicity 3)
Pd 0.0007 0.5004 0.5672 (multiplicity 9)
Pd 0.1687 0.3375 0.3955 (multiplicity 9)



2.
Material: BaIn12Pd4
Method: DFT, PBE
State: relaxed

Calculated values
DOS(E_F)   10.8 states/eV/f.u.
Total DFT energy (no corrections)   -3.49 eV per atom

Cell lengths 9.698, 9.698, 9.698 Å; angles 90.00, 90.00, 90.00 degrees
Space group Im-3 (No. 204)
Unique sites:
Ba 0.000 0.000 0.000 (multiplicity 2)
In 0.000 0.342 0.165 (multiplicity 24)
Pd 0.250 0.250 0.250 (multiplicity 8)



Question: Which value of DOS(E_F) does entry 2 give?
Answer: 10.8 states/eV/f.u.